Entry 1:
Here is a geometry-optimized YInNO2 structure from Alexandria. Energies are from GGA-PBE.

For the energy relative to the elements, uncorrected, the calculation gives -62.7 kJ/mol of atoms. The value obtained for the uncorrected energy is -30.69 eV for the cell shown. Its magnetic moment is 2.9 μB/f.u.

The structure belongs to space group P4/mmm (No. 123); the cell edges are 4.427, 4.427 and 4.674 Å and the angles 90.00°, 90.00° and 90.00°. Symmetry generates all atoms from Y at (0.000, 0.000, 0.000), In at (0.500, 0.500, 0.500), N at (0.000, 0.000, 0.500) and O at (0.000, 0.500, 0.000).

=====

Entry 2:
Here is a geometry-optimized YInN2O structure from Alexandria. Energies are from GGA-PBE.

For the energy relative to the elements, uncorrected, the calculation gives -8.4 kJ/mol of atoms. The value obtained for the uncorrected energy is -31.25 eV for the cell shown. Its magnetic moment is 0.0 μB/f.u.

The structure belongs to space group P4/mmm (No. 123); the cell edges are 4.121, 4.121 and 4.148 Å and the angles 90.00°, 90.00° and 90.00°. Symmetry generates all atoms from Y at (0.000, 0.000, 0.000), In at (0.500, 0.500, 0.500), N at (0.000, 0.500, 0.500) and O at (0.500, 0.500, 0.000).

=====

Entry 3:
Here is a geometry-optimized YInNO2 structure from Alexandria. Energies are from GGA-PBE.

For the energy relative to the elements, uncorrected, the calculation gives -93.0 kJ/mol of atoms. The value obtained for the uncorrected energy is -32.26 eV for the cell shown. Its magnetic moment is 0.0 μB/f.u.

The structure belongs to space group P4/mmm (No. 123); the cell edges are 4.105, 4.105 and 4.162 Å and the angles 90.00°, 90.00° and 90.00°. Symmetry generates all atoms from Y at (0.000, 0.000, 0.000), In at (0.500, 0.500, 0.500), N at (0.500, 0.500, 0.000) and O at (0.000, 0.500, 0.500).

=====

Entry 4:
Here is a geometry-optimized Zr6In2NO structure from Alexandria. Energies are from GGA-PBE.

For the energy relative to the elements, uncorrected, the calculation gives -94.7 kJ/mol of atoms. The value obtained for the uncorrected energy is -159.73 eV for the cell shown. Its magnetic moment is 0.0 μB/f.u.

The structure belongs to space group Pmmn (No. 59, origin choice 2); the cell edges are 6.296, 9.403 and 6.297 Å and the angles 90.00°, 90.00° and 90.00°. Symmetry generates all atoms from Zr at (0.002, 0.250, 0.001), Zr at (0.002, 0.250, 0.498), Zr at (0.250, 0.002, 0.250), In at (0.250, 0.000, 0.750), N at (0.250, 0.250, 0.249) and O at (0.250, 0.750, 0.251).

=====

Entry 5:
Here is a geometry-optimized InOs2N structure from Alexandria. Energies are from GGA-PBE.

For the energy relative to the elements, uncorrected, the calculation gives 58.6 kJ/mol of atoms. The value obtained for the uncorrected energy is -124.37 eV for the cell shown. Its magnetic moment is 0.0 μB/f.u. The calculation puts the excess energy over the best structure of this formula in the dataset at 0.0 meV per atom.

The structure belongs to space group I-42d (No. 122); the cell edges are 6.498, 6.498 and 5.739 Å and the angles 90.00°, 90.00° and 90.00°. Symmetry generates all atoms from In at (0.000, 0.000, 0.000), Os at (0.128, 0.250, 0.625) and N at (0.000, 0.000, 0.500).

=====

Entry 6:
Here is a geometry-optimized InOsN3 structure from Alexandria. Energies are from GGA-PBE.

For the energy relative to the elements, uncorrected, the calculation gives 88.7 kJ/mol of atoms. The value obtained for the uncorrected energy is -34.35 eV for the cell shown. Its magnetic moment is 0.0 μB/f.u.

The structure belongs to space group Pm-3m (No. 221); the cell edges are 3.917, 3.917 and 3.917 Å and the angles 90.00°, 90.00° and 90.00°. Symmetry generates all atoms from In at (0.000, 0.000, 0.000), Os at (0.500, 0.500, 0.500) and N at (0.000, 0.500, 0.500).

=====

Entry 7:
Here is a geometry-optimized In2OsN structure from Alexandria. Energies are from GGA-PBE.

For the energy relative to the elements, uncorrected, the calculation gives 95.3 kJ/mol of atoms. The value obtained for the uncorrected energy is -84.32 eV for the cell shown. Its magnetic moment is 0.4 μB/f.u.

The structure belongs to space group I-42d (No. 122); the cell edges are 6.723, 6.723 and 5.900 Å and the angles 90.00°, 90.00° and 90.00°. Symmetry generates all atoms from In at (0.187, 0.250, 0.125), Os at (0.000, 0.000, 0.500) and N at (0.000, 0.000, 0.000).

=====

Entry 8:
Here is a geometry-optimized InOsN3 structure from Alexandria. Energies are from GGA-PBE.

For the energy relative to the elements, uncorrected, the calculation gives 273.8 kJ/mol of atoms. The value obtained for the uncorrected energy is -24.76 eV for the cell shown. Its magnetic moment is 1.0 μB/f.u.

The structure belongs to space group Pm-3m (No. 221); the cell edges are 4.067, 4.067 and 4.067 Å and the angles 90.00°, 90.00° and 90.00°. Symmetry generates all atoms from In at (0.000, 0.000, 0.000), Os at (0.500, 0.500, 0.500) and N at (0.000, 0.000, 0.500).

=====

Entry 9:
Here is a geometry-optimized InOsN2 structure from Alexandria. Energies are from GGA-PBE.

For the energy relative to the elements, uncorrected, the calculation gives 55.2 kJ/mol of atoms. The value obtained for the uncorrected energy is -84.99 eV for the cell shown. Its magnetic moment is 0.9 μB/f.u.

The structure belongs to space group R-3m (No. 166, hexagonal axes); the cell edges are 3.0551, 3.0551 and 20.1245 Å and the angles 90.00°, 90.00° and 120.00°. Symmetry generates all atoms from In at (0.0000, 0.0000, 0.0000), Os at (0.0000, 0.0000, 0.5000) and N at (0.0000, 0.0000, 0.1128).

=====

Entry 10:
Here is a geometry-optimized InOsN2 structure from Alexandria. Energies are from GGA-PBE.

For the energy relative to the elements, uncorrected, the calculation gives 53.8 kJ/mol of atoms. The value obtained for the uncorrected energy is -113.55 eV for the cell shown. Its magnetic moment is 0.0 μB/f.u.

The structure belongs to space group I-42d (No. 122); the cell edges are 5.986, 5.986 and 7.806 Å and the angles 90.00°, 90.00° and 90.00°. Symmetry generates all atoms from In at (0.000, 0.000, 0.000), Os at (0.000, 0.000, 0.500) and N at (0.096, 0.750, 0.625).

=====

Entry 11:
Here is a geometry-optimized InOsN2 structure from Alexandria. Energies are from GGA-PBE.

For the energy relative to the elements, uncorrected, the calculation gives 77.2 kJ/mol of atoms. The value obtained for the uncorrected energy is -82.25 eV for the cell shown. Its magnetic moment is 0.0 μB/f.u.

The structure belongs to space group R-3m (No. 166, hexagonal axes); the cell edges are 3.1809, 3.1809 and 18.9902 Å and the angles 90.00°, 90.00° and 120.00°. Symmetry generates all atoms from In at (0.0000, 0.0000, 0.0000), Os at (0.0000, 0.0000, 0.5000) and N at (0.0000, 0.0000, 0.4023).

=====

Entry 12:
Here is a geometry-optimized InOs2N structure from Alexandria. Energies are from GGA-PBE.

For the energy relative to the elements, uncorrected, the calculation gives 176.3 kJ/mol of atoms. The value obtained for the uncorrected energy is -104.86 eV for the cell shown. Its magnetic moment is 0.0 μB/f.u. The calculation puts the excess energy over the best structure of this formula in the dataset at 1219.7 meV per atom.

The structure belongs to space group Fm-3m (No. 225); the cell edges are 6.134, 6.134 and 6.134 Å and the angles 90.00°, 90.00° and 90.00°. Symmetry generates all atoms from In at (0.000, 0.000, 0.000), Os at (0.250, 0.250, 0.250) and N at (0.000, 0.000, 0.500).

=====

Entry 13:
Here is a geometry-optimized InOsSN2 structure from Alexandria. Energies are from GGA-PBE.

For the energy relative to the elements, uncorrected, the calculation gives 225.1 kJ/mol of atoms. The value obtained for the uncorrected energy is -23.08 eV for the cell shown. Its magnetic moment is 6.0 μB/f.u. The calculation puts the excess energy over the best structure of this formula in the dataset at 1851.6 meV per atom.

The structure belongs to space group P4/mmm (No. 123); the cell edges are 4.034, 4.034 and 5.593 Å and the angles 90.00°, 90.00° and 90.00°. Symmetry generates all atoms from In at (0.000, 0.000, 0.000), Os at (0.500, 0.500, 0.500), S at (0.000, 0.000, 0.500) and N at (0.000, 0.500, 0.000).

=====

Entry 14:
Here is a geometry-optimized InOsS2N structure from Alexandria. Energies are from GGA-PBE.

For the energy relative to the elements, uncorrected, the calculation gives 183.6 kJ/mol of atoms. The value obtained for the uncorrected energy is -21.03 eV for the cell shown. Its magnetic moment is 5.4 μB/f.u. The calculation puts the excess energy over the best structure of this formula in the dataset at 1658.4 meV per atom.

The structure belongs to space group P4/mmm (No. 123); the cell edges are 5.069, 5.069 and 4.045 Å and the angles 90.00°, 90.00° and 90.00°. Symmetry generates all atoms from In at (0.000, 0.000, 0.000), Os at (0.500, 0.500, 0.500), S at (0.000, 0.500, 0.000) and N at (0.000, 0.000, 0.500).

=====

Entry 15:
Here is a geometry-optimized InOsS2N structure from Alexandria. Energies are from GGA-PBE.

For the energy relative to the elements, uncorrected, the calculation gives 23.6 kJ/mol of atoms. The value obtained for the uncorrected energy is -29.33 eV for the cell shown. Its magnetic moment is 0.0 μB/f.u. The calculation puts the excess energy over the best structure of this formula in the dataset at 0.0 meV per atom.

The structure belongs to space group P4/mmm (No. 123); the cell edges are 4.936, 4.936 and 3.713 Å and the angles 90.00°, 90.00° and 90.00°. Symmetry generates all atoms from In at (0.000, 0.000, 0.000), Os at (0.500, 0.500, 0.500), S at (0.000, 0.500, 0.500) and N at (0.500, 0.500, 0.000).

=====

Entry 16:
Here is a geometry-optimized InOsSN2 structure from Alexandria. Energies are from GGA-PBE.

For the energy relative to the elements, uncorrected, the calculation gives 46.4 kJ/mol of atoms. The value obtained for the uncorrected energy is -32.34 eV for the cell shown. Its magnetic moment is 0.4 μB/f.u. The calculation puts the excess energy over the best structure of this formula in the dataset at 0.0 meV per atom.

The structure belongs to space group P4/mmm (No. 123); the cell edges are 3.850, 3.850 and 5.185 Å and the angles 90.00°, 90.00° and 90.00°. Symmetry generates all atoms from In at (0.000, 0.000, 0.000), Os at (0.500, 0.500, 0.500), S at (0.500, 0.500, 0.000) and N at (0.000, 0.500, 0.500).

=====

Entry 17:
Here is a geometry-optimized InTe2OsN structure from Alexandria. Energies are from GGA-PBE.

For the energy relative to the elements, uncorrected, the calculation gives 21.8 kJ/mol of atoms. The value obtained for the uncorrected energy is -27.45 eV for the cell shown. Its magnetic moment is 0.0 μB/f.u. The calculation puts the excess energy over the best structure of this formula in the dataset at 0.0 meV per atom.

The structure belongs to space group P4/mmm (No. 123); the cell edges are 5.635, 5.635 and 3.696 Å and the angles 90.00°, 90.00° and 90.00°. Symmetry generates all atoms from In at (0.000, 0.000, 0.000), Te at (0.000, 0.500, 0.500), Os at (0.500, 0.500, 0.500) and N at (0.500, 0.500, 0.000).

=====

Entry 18:
Here is a geometry-optimized InTe2OsN structure from Alexandria. Energies are from GGA-PBE.

For the energy relative to the elements, uncorrected, the calculation gives 177.3 kJ/mol of atoms. The value obtained for the uncorrected energy is -19.39 eV for the cell shown. Its magnetic moment is 3.7 μB/f.u. The calculation puts the excess energy over the best structure of this formula in the dataset at 1611.8 meV per atom.

The structure belongs to space group P4/mmm (No. 123); the cell edges are 5.654, 5.654 and 3.944 Å and the angles 90.00°, 90.00° and 90.00°. Symmetry generates all atoms from In at (0.000, 0.000, 0.000), Te at (0.000, 0.500, 0.000), Os at (0.500, 0.500, 0.500) and N at (0.000, 0.000, 0.500).

=====

Entry 19:
Here is a geometry-optimized VIn2OsN structure from Alexandria. Energies are from GGA-PBE.

For the energy relative to the elements, uncorrected, the calculation gives 41.4 kJ/mol of atoms. The value obtained for the uncorrected energy is -32.01 eV for the cell shown. Its magnetic moment is 1.6 μB/f.u.

The structure belongs to space group P4/mmm (No. 123); the cell edges are 4.685, 4.685 and 3.685 Å and the angles 90.00°, 90.00° and 90.00°. Symmetry generates all atoms from V at (0.000, 0.000, 0.000), In at (0.000, 0.500, 0.500), Os at (0.500, 0.500, 0.000) and N at (0.000, 0.000, 0.500).

=====

Entry 20:
Here is a geometry-optimized V2InOsN structure from Alexandria. Energies are from GGA-PBE.

For the energy relative to the elements, uncorrected, the calculation gives 169.5 kJ/mol of atoms. The value obtained for the uncorrected energy is -31.75 eV for the cell shown. Its magnetic moment is 2.7 μB/f.u.

The structure belongs to space group P4/mmm (No. 123); the cell edges are 4.677, 4.677 and 5.132 Å and the angles 90.00°, 90.00° and 90.00°. Symmetry generates all atoms from V at (0.000, 0.500, 0.000), In at (0.000, 0.000, 0.500), Os at (0.000, 0.000, 0.000) and N at (0.500, 0.500, 0.500).